No. 1
Compound: Na2MgMnH8
Source: Alexandria
Functional: PBE-GGA
Structure: optimized geometry

```
Na2MgMnH8
1.0
4.9918 0.0000 0.0000
-2.4959 4.3231 0.0000
0.0000 0.0000 5.4374
Na Mg Mn H
2 1 1 8
Direct
0.3333 0.6667 0.3466
0.6667 0.3333 0.6534
0.0000 0.0000 0.0000
0.0000 0.0000 0.5000
0.1505 0.3010 0.6854
0.1505 0.8495 0.6854
0.3010 0.1505 0.3146
0.3333 0.6667 0.9615
0.6667 0.3333 0.0385
0.6990 0.8495 0.6854
0.8495 0.1505 0.3146
0.8495 0.6990 0.3146
```

final energy = -3.23 eV per atom



No. 2
Compound: BaTe2IN
Source: Alexandria
Functional: PBE-GGA
Structure: optimized geometry

```
BaTe2IN
1.0
6.2108 0.0000 0.0000
0.0000 6.2108 0.0000
0.0000 0.0000 4.1010
Ba Te I N
1 2 1 1
Direct
0.0000 0.0000 0.0000
0.0000 0.5000 0.5000
0.5000 0.0000 0.5000
0.5000 0.5000 0.5000
0.5000 0.5000 0.0000
```

raw formation energy = 1.4 eV per formula unit
energy above the most stable polymorph in this dataset = 1.91 eV per formula unit



No. 3
Compound: ScAg2Pd5
Source: Alexandria
Functional: PBE-GGA
Structure: optimized geometry

```
ScAg2Pd5
1.0
-2.0246 2.0246 7.9852
2.0246 -2.0246 7.9852
2.0246 2.0246 -7.9852
Sc Ag Pd
1 2 5
Direct
0.0000 0.0000 0.0000
0.2506 0.2506 0.0000
0.7494 0.7494 0.0000
0.1220 0.6220 0.5000
0.3780 0.8780 0.5000
0.5000 0.5000 0.0000
0.6220 0.1220 0.5000
0.8780 0.3780 0.5000
```

formation energy from the elements = -0.4410 eV/atom



No. 4
Compound: BaSr2Au6
Source: Alexandria
Functional: PBE-GGA
Structure: optimized geometry

```
BaSr2Au6
1.0
8.4098 0.0000 0.0000
-4.2049 7.2831 0.0000
0.0000 0.0000 3.9874
Ba Sr Au
1 2 6
Direct
0.0000 0.0000 0.0000
0.3333 0.6667 0.0000
0.6667 0.3333 0.0000
0.0000 0.3359 0.5000
0.0000 0.6641 0.5000
0.3359 0.0000 0.5000
0.3359 0.3359 0.5000
0.6641 0.0000 0.5000
0.6641 0.6641 0.5000
```

formation energy from the elements = -0.7292 eV/atom



No. 5
Compound: CrSbRh
Source: Alexandria
Functional: PBE-GGA
Structure: optimized geometry

```
CrSbRh
1.0
2.5176 -4.0268 0.0000
2.5176 4.0268 0.0000
-2.1630 0.0000 4.9485
Cr Sb Rh
2 2 2
Direct
0.0065 0.0065 0.3215
0.9935 0.9935 0.6785
0.3752 0.6248 0.0000
0.6607 0.3393 0.5000
0.3068 0.6932 0.5000
0.7278 0.2722 0.0000
```

raw formation energy = 0.1 eV per formula unit



No. 6
Compound: C3Se
Source: Alexandria
Functional: PBE-GGA
Structure: optimized geometry

```
C3Se
1.0
5.8087 0.0000 0.0000
-2.9043 5.0304 0.0000
0.0000 0.0000 5.3251
C Se
12 4
Direct
0.0000 0.5000 0.0000
0.0000 0.5000 0.5000
0.2409 0.4817 0.2500
0.2409 0.7591 0.2500
0.4817 0.2409 0.7500
0.5000 0.0000 0.0000
0.5000 0.0000 0.5000
0.5000 0.5000 0.0000
0.5000 0.5000 0.5000
0.5183 0.7591 0.2500
0.7591 0.2409 0.7500
0.7591 0.5183 0.7500
0.0000 0.0000 0.0000
0.0000 0.0000 0.5000
0.3333 0.6667 0.7500
0.6667 0.3333 0.2500
```

raw formation energy = 11.5 eV per formula unit
energy above the most stable polymorph in this dataset = 6.19 eV per formula unit



Summary of spin magnetization in μB/cell
2.96 0.00 0.00 0.00 0.00 0.00
(order as listed above)